(1)
TlSb2TeH: relaxed, GGA-PBEsol.

Raw total energy ... -2.42 eV/atom

abc: 5.6660 5.6660 5.7816
angles: 90.00 90.00 90.00
Fractional positions:
Tl1 0.0000 0.0000 0.0000
Sb1 0.0000 0.5000 0.0000
Sb2 0.5000 0.0000 0.0000
Te1 0.0000 0.0000 0.5000
H1 0.5000 0.5000 0.5000



(2)
ZrSbTe2H: relaxed, GGA-PBEsol.

Raw total energy ... -4.34 eV/atom

abc: 5.5175 5.5175 5.5158
angles: 90.00 90.00 90.00
Fractional positions:
Zr1 0.0000 0.0000 0.0000
Sb1 0.0000 0.0000 0.5000
Te1 0.0000 0.5000 0.0000
Te2 0.5000 0.0000 0.0000
H1 0.5000 0.5000 0.5000



| no. | total magnetic moment (μB per formula unit) |
| --- | --- |
| 1 | 0.7 |
| 2 | 0.9 |